! InC (PBE, optimized geometry); values from VASP
! **E**: -4.915 eV per atom
! **Space group**: Cm, No. 8
! **ΔE to the lowest computed polymorph**: 0.355 eV/atom
! **E_form**: 1.066 eV/atom
! **Crystal system**: monoclinic
&SYSTEM
  ibrav = 0, nat = 6, ntyp = 2
/
ATOMIC_SPECIES
In 114.82 In.upf
C 12.01 C.upf
ATOMIC_POSITIONS crystal
In 0.000 0.000 0.000
In 0.576 0.576 0.535
In 0.810 0.810 0.407
C 0.179 0.179 0.827
C 0.231 0.231 0.082
C 0.427 0.427 0.678
CELL_PARAMETERS angstrom
6.196 -1.711 0.000
6.196 1.711 0.000
-2.289 0.000 5.024